TlCuGe2 | PBE | relaxed

Properties
Its space-group type is Fm-3m. Its formation enthalpy at 0 K is 0.458 eV per atom. The value obtained for the energy above the lowest structure with this stoichiometry is 76 kJ/mol of formula units. The total energy comes out at -13.865 eV per cell.

abc: 4.868 4.868 4.868
angles: 60.00 60.00 60.00
Sites, in units of the cell vectors:
Tl 0.000 0.000 0.000
Cu 0.500 0.500 0.500
Ge 0.250 0.250 0.250
Ge 0.750 0.750 0.750

---

TlCu3Ge | PBE | relaxed

Properties
Its space-group type is Pm-3m. Its formation enthalpy at 0 K is 0.364 eV per atom. The value obtained for the energy above the lowest structure with this stoichiometry is 0 kJ/mol of formula units. The total energy comes out at -17.452 eV per cell.

abc: 4.637 4.637 4.637
angles: 90.00 90.00 90.00
Sites, in units of the cell vectors:
Tl 0.000 0.000 0.000
Cu 0.000 0.500 0.500
Cu 0.500 0.000 0.500
Cu 0.500 0.500 0.000
Ge 0.500 0.500 0.500

---

TlCuGe3 | PBE | relaxed

Properties
Its space-group type is Pm-3m. Its formation enthalpy at 0 K is 0.396 eV per atom. The value obtained for the energy above the lowest structure with this stoichiometry is 0 kJ/mol of formula units. The total energy comes out at -18.334 eV per cell.

abc: 4.825 4.825 4.825
angles: 90.00 90.00 90.00
Sites, in units of the cell vectors:
Tl 0.000 0.000 0.000
Cu 0.500 0.500 0.500
Ge 0.000 0.500 0.500
Ge 0.500 0.000 0.500
Ge 0.500 0.500 0.000